{
  "formula": "TaPtW",
  "functional": "PBE",
  "state": "optimized geometry",
  "sg": "P3m1",
  "rho_g_cm3": 18.61,
  "m_tot_mub_per_cell": 0.000,
  "relative_energy_ev_per_fu": 0.73,
  "final_energy_ev_per_atom": -10.3344,
  "lattice": [[-2.3785, -0.4481, 1.4762], [2.2574, -1.6655, 0.4094], [2.3459, 4.4402, 5.1274]],
  "species": ["Pt", "Ta", "W"],
  "fractional_positions": [[0.0000, 0.0000, 0.9993], [0.6667, 0.3333, 0.3246], [0.3333, 0.6667, 0.6761]]
}

***

{
  "formula": "Ta2Pt2W",
  "functional": "PBE",
  "state": "optimized geometry",
  "sg": "P4/mbm",
  "rho_g_cm3": 18.12,
  "m_tot_mub_per_cell": 0.000,
  "relative_energy_ev_per_fu": 0.00,
  "final_energy_ev_per_atom": -9.9500,
  "lattice": [[-0.1128, -3.2874, 7.0744], [-0.7411, -7.0387, -3.2826], [2.8052, -0.2599, -0.0760]],
  "species": ["W", "W", "Pt", "Pt", "Pt", "Pt", "Ta", "Ta", "Ta", "Ta"],
  "fractional_positions": [[0.0000, 0.0000, 0.0000], [0.5000, 0.5000, 0.0000], [0.3757, 0.8757, 0.0000], [0.8757, 0.6243, 0.0000], [0.6243, 0.1243, 0.0000], [0.1243, 0.3757, 0.0000], [0.1739, 0.6739, 0.5000], [0.6739, 0.8261, 0.5000], [0.8261, 0.3261, 0.5000], [0.3261, 0.1739, 0.5000]]
}

***

{
  "formula": "YTaPt2W",
  "functional": "PBE",
  "state": "optimized geometry",
  "sg": "P4/mmm",
  "rho_g_cm3": 12.12,
  "m_tot_mub_per_cell": 0.000,
  "final_energy_ev_per_atom": -6.7325,
  "lattice": [[-2.2024, 0.4614, -4.2907], [-4.2732, -1.3351, 2.0498], [-0.9713, 4.6406, 0.9976]],
  "species": ["Y", "W", "Pt", "Pt", "Ta"],
  "fractional_positions": [[0.0000, 0.0000, 0.0000], [0.0000, 0.5000, 0.0000], [0.0000, 0.0000, 0.5000], [0.5000, 0.0000, 0.0000], [0.5000, 0.5000, 0.5000]]
}

***

{
  "formula": "YTaPt2",
  "functional": "PBE",
  "state": "optimized geometry",
  "sg": "F-43m",
  "rho_g_cm3": 15.19,
  "m_tot_mub_per_cell": 0.000,
  "final_energy_ev_per_atom": -8.0051,
  "lattice": [[-0.3919, -3.7393, 2.7747], [3.3935, -3.2112, 0.0863], [2.7332, -0.4102, 3.7679]],
  "species": ["Pt", "Pt", "Ta", "Y"],
  "fractional_positions": [[0.0000, 0.0000, 0.0000], [0.2500, 0.2500, 0.2500], [0.5000, 0.5000, 0.5000], [0.7500, 0.7500, 0.7500]]
}

***

{
  "formula": "Y3TaPt",
  "functional": "PBE",
  "state": "optimized geometry",
  "sg": "Pm-3m",
  "rho_g_cm3": 7.09,
  "m_tot_mub_per_cell": 0.000,
  "relative_energy_ev_per_fu": 1.99,
  "final_energy_ev_per_atom": -6.7413,
  "lattice": [[-3.4427, 3.4316, -2.1594], [-3.4190, -3.9797, -0.8734], [-2.1792, 0.8228, 4.7817]],
  "species": ["Y", "Y", "Y", "Pt", "Ta"],
  "fractional_positions": [[0.0000, 0.5000, 0.0000], [0.0000, 0.0000, 0.5000], [0.5000, 0.0000, 0.0000], [0.5000, 0.5000, 0.5000], [0.0000, 0.0000, 0.0000]]
}

***

{
  "formula": "YTa2Pt",
  "functional": "PBE",
  "state": "optimized geometry",
  "sg": "Pmmm",
  "rho_g_cm3": 13.66,
  "m_tot_mub_per_cell": 0.000,
  "relative_energy_ev_per_fu": 1.54,
  "final_energy_ev_per_atom": -8.9125,
  "lattice": [[-2.2681, -1.6805, -0.7660], [-0.1987, -1.7481, 4.4232], [-3.5525, 4.1245, 1.4705]],
  "species": ["Pt", "Ta", "Ta", "Y"],
  "fractional_positions": [[0.5000, 0.5000, 0.7500], [0.0000, 0.0000, 0.9960], [0.0000, 0.0000, 0.5040], [0.5000, 0.5000, 0.2500]]
}

***

{
  "formula": "Y2TaPt",
  "functional": "PBE",
  "state": "optimized geometry",
  "sg": "Immm",
  "rho_g_cm3": 10.21,
  "m_tot_mub_per_cell": 1.150,
  "relative_energy_ev_per_fu": 1.04,
  "final_energy_ev_per_atom": -7.7813,
  "lattice": [[5.7068, -0.0313, 0.0408], [4.4252, 3.6036, 0.0408], [2.0621, 0.7270, 4.3663]],
  "species": ["Pt", "Ta", "Y", "Y"],
  "fractional_positions": [[0.7500, 0.7500, 0.7500], [0.2500, 0.2500, 0.2500], [0.0318, 0.0318, 0.9683], [0.4682, 0.4682, 0.5317]]
}

***

{
  "formula": "YTaPt",
  "functional": "PBE",
  "state": "optimized geometry",
  "sg": "P-6m2",
  "rho_g_cm3": 11.02,
  "m_tot_mub_per_cell": 0.000,
  "relative_energy_ev_per_fu": 0.18,
  "final_energy_ev_per_atom": -8.4974,
  "lattice": [[4.3614, 0.0000, 0.0000], [-2.1807, 3.7771, 0.0000], [0.0000, 0.0000, 4.2530]],
  "species": ["Pt", "Ta", "Y"],
  "fractional_positions": [[0.0000, 0.0000, 0.1664], [0.6667, 0.3333, 0.1668], [0.3333, 0.6667, 0.6668]]
}

***

{
  "formula": "YTa2Pt",
  "functional": "PBE",
  "state": "optimized geometry",
  "sg": "Fm-3m",
  "rho_g_cm3": 14.42,
  "m_tot_mub_per_cell": 0.000,
  "relative_energy_ev_per_fu": 1.54,
  "final_energy_ev_per_atom": -8.9121,
  "lattice": [[1.4298, -0.6648, 4.4496], [2.1429, 3.4967, 2.3381], [-2.2269, 2.1806, 3.5456]],
  "species": ["Y", "Pt", "Ta", "Ta"],
  "fractional_positions": [[0.0000, 0.0000, 0.0000], [0.5000, 0.5000, 0.5000], [0.2500, 0.2500, 0.2500], [0.7500, 0.7500, 0.7500]]
}

***

{
  "formula": "YTaPt",
  "functional": "PBE",
  "state": "optimized geometry",
  "sg": "F-43m",
  "rho_g_cm3": 11.00,
  "m_tot_mub_per_cell": 0.000,
  "relative_energy_ev_per_fu": 0.91,
  "final_energy_ev_per_atom": -8.2523,
  "lattice": [[-2.9308, -3.5355, -0.5941], [0.9506, -3.2982, -3.1081], [1.1783, -4.2476, 1.4184]],
  "species": ["Pt", "Ta", "Y"],
  "fractional_positions": [[0.7500, 0.7500, 0.7500], [0.0000, 0.0000, 0.0000], [0.5000, 0.5000, 0.5000]]
}

***

{
  "formula": "YTaPt2",
  "functional": "PBE",
  "state": "optimized geometry",
  "sg": "I-4m2",
  "rho_g_cm3": 14.77,
  "m_tot_mub_per_cell": 0.000,
  "final_energy_ev_per_atom": -8.1345,
  "lattice": [[-4.2975, -2.8800, -1.3031], [-0.3680, -4.7156, 2.4675], [0.8587, 5.0307, 1.5541]],
  "species": ["Pt", "Pt", "Ta", "Y"],
  "fractional_positions": [[0.0000, 0.0000, 0.0000], [0.2500, 0.7500, 0.5000], [0.5000, 0.5000, 0.0000], [0.7500, 0.2500, 0.5000]]
}

***

{
  "formula": "YTaPt2",
  "functional": "PBE",
  "state": "optimized geometry",
  "sg": "P4/mmm",
  "rho_g_cm3": 14.10,
  "m_tot_mub_per_cell": 0.000,
  "final_energy_ev_per_atom": -8.3520,
  "lattice": [[3.3067, -0.0067, 0.0000], [0.0092, 3.3067, 0.0000], [0.0000, 0.0000, 7.1097]],
  "species": ["Pt", "Pt", "Ta", "Y"],
  "fractional_positions": [[0.0000, 0.0000, 0.0442], [0.0000, 0.0000, 0.4558], [0.5000, 0.5000, 0.2500], [0.5000, 0.5000, 0.7500]]
}

***

For reference, formation energy from the elements by record: -0.052 -0.202 1.938 -0.406 0.716 0.140 -0.076 -0.378 0.140 -0.133 -0.535 -0.752 eV/atom.